*A*
This record from Alexandria describes YAg2Pt at its PBEsol-relaxed geometry. The functional is SCAN.

The structure in POSCAR format:
```
YAg2Pt
1.0
-2.007 2.007 4.499
2.007 -2.007 4.499
2.007 2.007 -4.499
Y Ag Pt
1 2 1
Direct
0.000 0.000 0.000
0.250 0.750 0.500
0.750 0.250 0.500
0.500 0.500 0.000
```

Summary:
Symmetry = No. 139
Spin magnetization = 0.000 μB per atom
Crystal system = tetragonal

*B*
This record from Alexandria describes YAg2Pt at its PBEsol-relaxed geometry. The functional is SCAN.

The structure in POSCAR format:
```
YAg2Pt
1.0
1.473 0.850 9.690
-1.473 0.850 9.690
0.000 -1.701 9.690
Y Ag Pt
1 2 1
Direct
0.000 0.000 0.000
0.244 0.244 0.244
0.756 0.756 0.756
0.500 0.500 0.500
```

Summary:
Symmetry = No. 166
Spin magnetization = 0.000 μB per atom
Crystal system = trigonal

Energies relative to the most stable structure, in meV per atom: *A* 0; *B* 808.

*A*
This record from Alexandria describes RbSi2Ag at its PBEsol-relaxed geometry. The functional is SCAN.

The structure in POSCAR format:
```
RbSi2Ag
1.0
0.000 3.469 3.469
3.469 0.000 3.469
3.469 3.469 0.000
Rb Si Ag
1 2 1
Direct
0.000 0.000 0.000
0.250 0.250 0.250
0.750 0.750 0.750
0.500 0.500 0.500
```

Summary:
Symmetry = No. 225
Spin magnetization = 0.000 μB per atom
Crystal system = cubic

*B*
This record from Alexandria describes RbSi2Ag at its PBEsol-relaxed geometry. The functional is SCAN.

The structure in POSCAR format:
```
RbSi2Ag
1.0
-2.476 2.476 8.787
2.476 -2.476 8.787
2.476 2.476 -8.787
Rb Si Ag
2 4 2
Direct
0.375 0.625 0.750
0.625 0.375 0.250
0.000 0.000 0.000
0.000 0.000 0.500
0.000 0.500 0.000
0.500 0.000 0.500
0.125 0.875 0.250
0.875 0.125 0.750
```

Summary:
Symmetry = No. 141
Spin magnetization = 0.000 μB per atom
Crystal system = tetragonal

Energies relative to the most stable structure, in meV per atom: *A* 576; *B* 0.

*A*
This record from Alexandria describes ReAgSe at its PBEsol-relaxed geometry. The functional is SCAN.

The structure in POSCAR format:
```
ReAgSe
1.0
0.000 2.441 7.145
1.483 0.000 7.145
1.483 2.441 0.000
Re Ag Se
1 1 1
Direct
0.000 0.000 0.000
0.334 0.334 0.666
0.637 0.637 0.363
```

Summary:
Symmetry = No. 42
Spin magnetization = 0.001 μB per atom
Crystal system = orthorhombic

*B*
This record from Alexandria describes ReAgSe at its PBEsol-relaxed geometry. The functional is SCAN.

The structure in POSCAR format:
```
ReAgSe
1.0
4.584 0.000 0.000
-2.292 3.970 0.000
0.000 0.000 2.652
Re Ag Se
1 1 1
Direct
0.000 0.000 0.000
0.667 0.333 0.500
0.333 0.667 0.000
```

Summary:
Symmetry = No. 187
Spin magnetization = 0.000 μB per atom
Crystal system = hexagonal

Energies relative to the most stable structure, in meV per atom: *A* 0; *B* 123.

*A*
This record from Alexandria describes Sr2ReAg at its PBEsol-relaxed geometry. The functional is SCAN.

The structure in POSCAR format:
```
Sr2ReAg
1.0
3.564 0.000 0.000
0.000 3.564 0.000
0.000 0.000 8.759
Sr Re Ag
2 1 1
Direct
0.000 0.000 0.000
0.500 0.500 0.415
0.500 0.500 0.760
0.000 0.000 0.648
```

Summary:
Symmetry = No. 99
Spin magnetization = 0.426 μB per atom
Crystal system = tetragonal

*B*
This record from Alexandria describes Sr2ReAg at its PBEsol-relaxed geometry. The functional is SCAN.

The structure in POSCAR format:
```
Sr2ReAg
1.0
3.024 0.000 0.000
0.000 3.689 0.000
0.000 0.000 8.679
Sr Re Ag
2 1 1
Direct
0.000 0.000 0.235
0.000 0.000 0.765
0.500 0.500 0.000
0.500 0.500 0.500
```

Summary:
Symmetry = No. 47
Spin magnetization = 0.000 μB per atom
Crystal system = orthorhombic

Energies relative to the most stable structure, in meV per atom: *A* 78; *B* 0.

*A*
This record from Alexandria describes SrRe2Ag at its PBEsol-relaxed geometry. The functional is SCAN.

The structure in POSCAR format:
```
SrRe2Ag
1.0
2.739 -5.165 0.000
2.739 5.165 0.000
-0.945 0.000 2.533
Sr Re Ag
1 2 1
Direct
0.000 0.000 0.000
0.000 0.500 0.500
0.500 0.000 0.500
0.500 0.500 0.000
```

Summary:
Symmetry = No. 12
Spin magnetization = 0.000 μB per atom
Crystal system = monoclinic

*B*
This record from Alexandria describes SrRe2Ag at its PBEsol-relaxed geometry. The functional is SCAN.

The structure in POSCAR format:
```
SrRe2Ag
1.0
0.000 3.295 3.295
3.295 0.000 3.295
3.295 3.295 0.000
Sr Re Ag
1 2 1
Direct
0.000 0.000 0.000
0.250 0.250 0.250
0.500 0.500 0.500
0.750 0.750 0.750
```

Summary:
Symmetry = No. 216
Spin magnetization = 0.000 μB per atom
Crystal system = cubic

Energies relative to the most stable structure, in meV per atom: *A* 0; *B* 91.

*A*
This record from Alexandria describes ReTcAg2 at its PBEsol-relaxed geometry. The functional is SCAN.

The structure in POSCAR format:
```
ReTcAg2
1.0
-1.978 1.978 3.836
1.978 -1.978 3.836
1.978 1.978 -3.836
Re Tc Ag
1 1 2
Direct
0.000 0.000 0.000
0.750 0.250 0.500
0.250 0.750 0.500
0.500 0.500 0.000
```

Summary:
Symmetry = No. 119
Spin magnetization = 0.000 μB per atom
Crystal system = tetragonal

*B*
This record from Alexandria describes ReTcAg2 at its PBEsol-relaxed geometry. The functional is SCAN.

The structure in POSCAR format:
```
ReTcAg2
1.0
0.000 3.129 3.129
3.129 0.000 3.129
3.129 3.129 0.000
Re Tc Ag
1 1 2
Direct
0.000 0.000 0.000
0.250 0.250 0.250
0.500 0.500 0.500
0.750 0.750 0.750
```

Summary:
Symmetry = No. 216
Spin magnetization = 0.000 μB per atom
Crystal system = cubic

Energies relative to the most stable structure, in meV per atom: *A* 0; *B* 80.

*A*
This record from Alexandria describes TlReAg2 at its PBEsol-relaxed geometry. The functional is SCAN.

The structure in POSCAR format:
```
TlReAg2
1.0
2.927 0.000 0.000
0.000 4.774 0.000
0.000 0.000 4.956
Tl Re Ag
1 1 2
Direct
0.000 0.000 0.000
0.500 0.500 0.000
0.000 0.500 0.500
0.500 0.000 0.500
```

Summary:
Symmetry = No. 47
Spin magnetization = 0.000 μB per atom
Crystal system = orthorhombic

*B*
This record from Alexandria describes TlReAg2 at its PBEsol-relaxed geometry. The functional is SCAN.

The structure in POSCAR format:
```
TlReAg2
1.0
2.820 0.000 0.000
0.000 4.970 0.000
-0.171 0.000 5.002
Tl Re Ag
1 1 2
Direct
0.000 0.000 0.000
0.500 0.000 0.500
0.233 0.500 0.737
0.767 0.500 0.263
```

Summary:
Symmetry = No. 10
Spin magnetization = 0.000 μB per atom
Crystal system = monoclinic

*C*
This record from Alexandria describes TlReAg2 at its PBEsol-relaxed geometry. The functional is SCAN.

The structure in POSCAR format:
```
TlReAg2
1.0
1.969 -1.975 0.000
1.969 1.975 0.000
0.000 0.000 9.239
Tl Re Ag
1 1 2
Direct
0.000 0.000 0.000
0.000 0.000 0.500
0.500 0.500 0.278
0.500 0.500 0.722
```

Summary:
Symmetry = No. 65
Spin magnetization = 0.000 μB per atom
Crystal system = orthorhombic

Energies relative to the most stable structure, in meV per atom: *A* 89; *B* 118; *C* 0.

*A*
This record from Alexandria describes YRe2Ag at its PBEsol-relaxed geometry. The functional is SCAN.

The structure in POSCAR format:
```
YRe2Ag
1.0
0.000 3.250 3.250
3.250 0.000 3.250
3.250 3.250 0.000
Y Re Ag
1 2 1
Direct
0.000 0.000 0.000
0.500 0.500 0.500
0.750 0.750 0.750
0.250 0.250 0.250
```

Summary:
Symmetry = No. 216
Spin magnetization = 0.000 μB per atom
Crystal system = cubic

*B*
This record from Alexandria describes YRe2Ag at its PBEsol-relaxed geometry. The functional is SCAN.

The structure in POSCAR format:
```
YRe2Ag
1.0
2.897 0.000 0.000
0.000 4.389 0.000
-1.109 0.000 5.541
Y Re Ag
1 2 1
Direct
0.000 0.000 0.000
0.263 0.500 0.672
0.564 0.000 0.533
0.588 0.500 0.226
```

Summary:
Symmetry = No. 6
Spin magnetization = 0.000 μB per atom
Crystal system = monoclinic

*C*
This record from Alexandria describes YRe2Ag at its PBEsol-relaxed geometry. The functional is SCAN.

The structure in POSCAR format:
```
YRe2Ag
1.0
1.612 -2.202 0.000
1.612 2.202 0.000
0.000 0.000 9.517
Y Re Ag
1 2 1
Direct
0.000 0.000 0.000
0.500 0.500 0.260
0.500 0.500 0.740
0.000 0.000 0.500
```

Summary:
Symmetry = No. 65
Spin magnetization = 0.000 μB per atom
Crystal system = orthorhombic

*D*
This record from Alexandria describes YRe2Ag at its PBEsol-relaxed geometry. The functional is SCAN.

The structure in POSCAR format:
```
YRe2Ag
1.0
-1.630 2.213 4.840
1.630 -2.213 4.840
1.630 2.213 -4.840
Y Re Ag
1 2 1
Direct
0.000 0.000 0.000
0.254 0.754 0.500
0.746 0.246 0.500
0.500 0.500 0.000
```

Summary:
Symmetry = No. 71
Spin magnetization = 0.000 μB per atom
Crystal system = orthorhombic

Energies relative to the most stable structure, in meV per atom: *A* 108; *B* 0; *C* 416; *D* 223.

*A*
This record from Alexandria describes Zn2ReAg at its PBEsol-relaxed geometry. The functional is SCAN.

The structure in POSCAR format:
```
Zn2ReAg
1.0
2.649 0.000 0.000
0.000 2.649 0.000
0.000 0.000 8.269
Zn Re Ag
2 1 1
Direct
0.000 0.000 0.000
0.500 0.500 0.238
0.500 0.500 0.758
0.000 0.000 0.489
```

Summary:
Symmetry = No. 99
Spin magnetization = 0.000 μB per atom
Crystal system = tetragonal

*B*
This record from Alexandria describes Zn2ReAg at its PBEsol-relaxed geometry. The functional is SCAN.

The structure in POSCAR format:
```
Zn2ReAg
1.0
2.646 0.000 0.000
0.000 4.161 0.000
0.000 0.000 5.323
Zn Re Ag
2 1 1
Direct
0.000 0.000 0.000
0.500 0.500 0.289
0.500 0.500 0.798
0.000 0.000 0.510
```

Summary:
Symmetry = No. 25
Spin magnetization = 0.000 μB per atom
Crystal system = orthorhombic

Energies relative to the most stable structure, in meV per atom: *A* 0; *B* 71.

*A*
This record from Alexandria describes Zr2ReAg at its PBEsol-relaxed geometry. The functional is SCAN.

The structure in POSCAR format:
```
Zr2ReAg
1.0
0.000 3.316 3.316
3.316 0.000 3.316
3.316 3.316 0.000
Zr Re Ag
2 1 1
Direct
0.250 0.250 0.250
0.750 0.750 0.750
0.000 0.000 0.000
0.500 0.500 0.500
```

Summary:
Symmetry = No. 225
Spin magnetization = 0.000 μB per atom
Crystal system = cubic

*B*
This record from Alexandria describes Zr2ReAg at its PBEsol-relaxed geometry. The functional is SCAN.

The structure in POSCAR format:
```
Zr2ReAg
1.0
3.291 0.000 0.000
0.000 3.291 0.000
0.000 0.000 6.825
Zr Re Ag
2 1 1
Direct
0.000 0.000 0.230
0.000 0.000 0.770
0.500 0.500 0.000
0.500 0.500 0.500
```

Summary:
Symmetry = No. 123
Spin magnetization = 0.000 μB per atom
Crystal system = tetragonal

Energies relative to the most stable structure, in meV per atom: *A* 44; *B* 0.

*A*
This record from Alexandria describes Ag2Rh at its PBEsol-relaxed geometry. The functional is SCAN.

The structure in POSCAR format:
```
Ag2Rh
1.0
-1.365 1.365 6.214
1.365 -1.365 6.214
1.365 1.365 -6.214
Ag Rh
2 1
Direct
0.164 0.164 0.000
0.836 0.836 0.000
0.500 0.500 0.000
```

Summary:
Symmetry = No. 139
Spin magnetization = 0.238 μB per atom
Crystal system = tetragonal

*B*
This record from Alexandria describes Ag2Rh at its PBEsol-relaxed geometry. The functional is SCAN.

The structure in POSCAR format:
```
Ag2Rh
1.0
2.763 0.000 0.000
-1.382 2.393 0.000
0.000 0.000 6.962
Ag Rh
2 1
Direct
0.333 0.667 0.329
0.667 0.333 0.671
0.000 0.000 0.000
```

Summary:
Symmetry = No. 164
Spin magnetization = 0.099 μB per atom
Crystal system = trigonal

Energies relative to the most stable structure, in meV per atom: *A* 52; *B* 0.

*A*
This record from Alexandria describes AgRuRh at its PBEsol-relaxed geometry. The functional is SCAN.

The structure in POSCAR format:
```
AgRuRh
1.0
0.000 2.938 2.938
2.938 0.000 2.938
2.938 2.938 0.000
Ag Ru Rh
1 1 1
Direct
0.000 0.000 0.000
0.250 0.250 0.250
0.750 0.750 0.750
```

Summary:
Symmetry = No. 216
Spin magnetization = 1.101 μB per atom
Crystal system = cubic

*B*
This record from Alexandria describes AgRuRh at its PBEsol-relaxed geometry. The functional is SCAN.

The structure in POSCAR format:
```
AgRuRh
1.0
4.371 0.000 0.000
-2.185 3.785 0.000
0.000 0.000 2.630
Ag Ru Rh
1 1 1
Direct
0.000 0.000 0.000
0.667 0.333 0.347
0.333 0.667 0.757
```

Summary:
Symmetry = No. 156
Spin magnetization = 0.389 μB per atom
Crystal system = trigonal

Energies relative to the most stable structure, in meV per atom: *A* 741; *B* 0.

*A*
This record from Alexandria describes AgRu2Rh at its PBEsol-relaxed geometry. The functional is SCAN.

The structure in POSCAR format:
```
AgRu2Rh
1.0
4.483 -1.345 0.000
4.483 1.345 0.000
-0.790 0.000 4.666
Ag Ru Rh
1 2 1
Direct
0.000 0.000 0.000
0.243 0.243 0.720
0.501 0.501 0.506
0.756 0.756 0.252
```

Summary:
Symmetry = No. 8
Spin magnetization = 0.000 μB per atom
Crystal system = monoclinic

*B*
This record from Alexandria describes AgRu2Rh at its PBEsol-relaxed geometry. The functional is SCAN.

The structure in POSCAR format:
```
AgRu2Rh
1.0
1.361 -2.283 0.000
1.361 2.283 0.000
0.000 0.000 9.265
Ag Ru Rh
1 2 1
Direct
0.000 0.000 0.000
0.000 0.000 0.499
0.500 0.500 0.265
0.500 0.500 0.740
```

Summary:
Symmetry = No. 35
Spin magnetization = 0.439 μB per atom
Crystal system = orthorhombic

Energies relative to the most stable structure, in meV per atom: *A* 0; *B* 32.

*A*
This record from Alexandria describes ScAgRh at its PBEsol-relaxed geometry. The functional is SCAN.

The structure in POSCAR format:
```
ScAgRh
1.0
-1.641 1.641 4.628
1.641 -1.641 4.628
1.641 1.641 -4.628
Sc Ag Rh
1 1 1
Direct
0.000 0.000 0.000
0.683 0.683 0.000
0.358 0.358 0.000
```

Summary:
Symmetry = No. 107
Spin magnetization = 0.000 μB per atom
Crystal system = tetragonal

*B*
This record from Alexandria describes ScAgRh at its PBEsol-relaxed geometry. The functional is SCAN.

The structure in POSCAR format:
```
ScAgRh
1.0
0.000 3.051 3.051
3.051 0.000 3.051
3.051 3.051 0.000
Sc Ag Rh
1 1 1
Direct
0.000 0.000 0.000
0.750 0.750 0.750
0.250 0.250 0.250
```

Summary:
Symmetry = No. 216
Spin magnetization = 0.000 μB per atom
Crystal system = cubic

Energies relative to the most stable structure, in meV per atom: *A* 0; *B* 483.